Material: CaTlGe
Method: DFT, GGA-PBE
State: relaxed

```
CaTlGe
1.0
0.000 3.530 3.530
3.530 0.000 3.530
3.530 3.530 0.000
Ca Tl Ge
1 1 1
Cartesian
0.000 0.000 0.000
3.530 3.530 3.530
5.294 5.294 5.294
```

Properties
excess energy over the best structure of this formula in the dataset: 47 kJ/mol of formula units
symmetry: F-43m (216)
size of the total moment: 0.000 μB/cell